Entry one
Computed, not measured: a geometry-optimized Ca2Al2O5 structure at the PBE level of DFT.

Geometry as POSCAR:
```
Ca2Al2O5
1.0
-7.245 2.732 2.642
7.245 -2.732 2.642
7.245 2.732 -2.642
Ca Al O
4 4 10
Direct
0.026 0.108 0.133 Ca
0.026 0.392 0.418 Ca
0.974 0.608 0.582 Ca
0.974 0.892 0.867 Ca
0.384 0.708 0.175 Al
0.507 0.007 0.500 Al
0.507 0.507 0.000 Al
0.533 0.208 0.825 Al
0.008 0.266 0.763 O
0.008 0.745 0.242 O
0.259 0.872 0.887 O
0.465 0.164 0.584 O
0.465 0.381 0.801 O
0.503 0.245 0.237 O
0.503 0.766 0.758 O
0.580 0.664 0.199 O
0.580 0.881 0.416 O
0.985 0.372 0.113 O
```

Output
- density of states at the Fermi level (states/eV per atom) = 0.000
- size of the total moment (μB per cell) = 0.00



Entry two
Computed, not measured: a geometry-optimized Ca2Al2O5 structure at the PBE level of DFT.

Geometry as POSCAR:
```
Ca2Al2O5
1.0
5.240 -1.892 0.000
5.240 1.892 0.000
-1.712 0.000 5.414
Ca Al O
2 2 5
Direct
0.114 0.114 0.327 Ca
0.886 0.886 0.673 Ca
0.351 0.351 0.117 Al
0.649 0.649 0.883 Al
0.168 0.168 0.938 O
0.352 0.352 0.430 O
0.500 0.500 0.000 O
0.648 0.648 0.570 O
0.832 0.832 0.062 O
```

Output
- density of states at the Fermi level (states/eV per atom) = 0.000
- size of the total moment (μB per cell) = 0.00



Entry three
Computed, not measured: a geometry-optimized Ca2Al2O5 structure at the PBE level of DFT.

Geometry as POSCAR:
```
Ca2Al2O5
1.0
0.000 3.866 7.260
3.762 0.000 7.260
3.762 3.866 0.000
Ca Al O
4 4 10
Direct
0.082 0.632 0.368 Ca
0.368 0.918 0.082 Ca
0.632 0.082 0.918 Ca
0.918 0.368 0.632 Ca
0.000 0.500 0.000 Al
0.324 0.676 0.676 Al
0.500 0.000 0.500 Al
0.676 0.324 0.324 Al
0.109 0.675 0.891 O
0.250 0.250 0.250 O
0.262 0.262 0.738 O
0.325 0.891 0.675 O
0.337 0.663 0.337 O
0.663 0.337 0.663 O
0.675 0.109 0.325 O
0.738 0.738 0.262 O
0.750 0.750 0.750 O
0.891 0.325 0.109 O
```

Output
- density of states at the Fermi level (states/eV per atom) = 0.000
- size of the total moment (μB per cell) = 0.00



Least stable: entry two



Entry one
Computed, not measured: a geometry-optimized CaAlPO2 structure at the PBE level of DFT.

Geometry as POSCAR:
```
CaAlPO2
1.0
4.148 0.000 0.000
0.000 4.148 0.000
0.000 0.000 5.701
Ca Al P O
1 1 1 2
Direct
0.000 0.000 0.000 Ca
0.500 0.500 0.500 Al
0.000 0.000 0.500 P
0.000 0.500 0.000 O
0.500 0.000 0.000 O
```

Output
- density of states at the Fermi level (states/eV per atom) = 1.337
- size of the total moment (μB per cell) = 0.15



Entry two
Computed, not measured: a geometry-optimized CaAlPO2 structure at the PBE level of DFT.

Geometry as POSCAR:
```
CaAlPO2
1.0
3.863 0.000 0.000
0.000 3.863 0.000
0.000 0.000 4.831
Ca Al P O
1 1 1 2
Direct
0.000 0.000 0.000 Ca
0.500 0.500 0.500 Al
0.500 0.500 0.000 P
0.000 0.500 0.500 O
0.500 0.000 0.500 O
```

Output
- density of states at the Fermi level (states/eV per atom) = 0.782
- size of the total moment (μB per cell) = 1.54



Least stable: entry one



Entry one
Computed, not measured: a geometry-optimized Ca4Al6SO16 structure at the PBE level of DFT.

Geometry as POSCAR:
```
Ca4Al6SO16
1.0
-4.588 4.588 4.588
4.588 -4.588 4.588
4.588 4.588 -4.588
Ca Al S O
4 6 1 16
Direct
0.000 0.000 0.624 Ca
0.000 0.624 0.000 Ca
0.376 0.376 0.376 Ca
0.624 0.000 0.000 Ca
0.250 0.500 0.750 Al
0.250 0.750 0.500 Al
0.500 0.250 0.750 Al
0.500 0.750 0.250 Al
0.750 0.250 0.500 Al
0.750 0.500 0.250 Al
0.000 0.000 0.000 S
0.000 0.000 0.188 O
0.000 0.188 0.000 O
0.000 0.425 0.717 O
0.000 0.717 0.425 O
0.188 0.000 0.000 O
0.283 0.283 0.708 O
0.283 0.708 0.283 O
0.292 0.575 0.575 O
0.425 0.000 0.717 O
0.425 0.717 0.000 O
0.575 0.292 0.575 O
0.575 0.575 0.292 O
0.708 0.283 0.283 O
0.717 0.000 0.425 O
0.717 0.425 0.000 O
0.812 0.812 0.812 O
```

Output
- density of states at the Fermi level (states/eV per atom) = 0.000
- size of the total moment (μB per cell) = 0.00



Entry two
Computed, not measured: a geometry-optimized Ca4Al6SO16 structure at the PBE level of DFT.

Geometry as POSCAR:
```
Ca4Al6SO16
1.0
13.106 0.000 0.000
0.000 13.260 0.000
0.000 0.000 9.252
Ca Al S O
16 24 4 64
Direct
0.007 0.247 0.071 Ca
0.007 0.753 0.571 Ca
0.243 0.028 0.596 Ca
0.243 0.972 0.096 Ca
0.247 0.437 0.640 Ca
0.247 0.563 0.140 Ca
0.442 0.250 0.000 Ca
0.442 0.750 0.500 Ca
0.558 0.250 0.500 Ca
0.558 0.750 0.000 Ca
0.753 0.437 0.140 Ca
0.753 0.563 0.640 Ca
0.757 0.028 0.096 Ca
0.757 0.972 0.596 Ca
0.993 0.247 0.571 Ca
0.993 0.753 0.071 Ca
0.000 0.000 0.081 Al
0.000 0.000 0.581 Al
0.000 0.500 0.094 Al
0.000 0.500 0.594 Al
0.128 0.378 0.341 Al
0.128 0.622 0.841 Al
0.130 0.130 0.329 Al
0.130 0.870 0.829 Al
0.378 0.377 0.320 Al
0.378 0.623 0.820 Al
0.380 0.129 0.303 Al
0.380 0.871 0.803 Al
0.500 0.000 0.049 Al
0.500 0.000 0.549 Al
0.500 0.500 0.071 Al
0.500 0.500 0.571 Al
0.620 0.129 0.803 Al
0.620 0.871 0.303 Al
0.622 0.377 0.820 Al
0.622 0.623 0.320 Al
0.870 0.130 0.829 Al
0.870 0.870 0.329 Al
0.872 0.378 0.841 Al
0.872 0.622 0.341 Al
0.222 0.238 0.822 S
0.222 0.762 0.322 S
0.778 0.238 0.322 S
0.778 0.762 0.822 S
0.052 0.400 0.494 O
0.052 0.600 0.994 O
0.068 0.095 0.490 O
0.068 0.905 0.990 O
0.090 0.254 0.295 O
0.090 0.746 0.795 O
0.098 0.062 0.174 O
0.098 0.938 0.674 O
0.107 0.459 0.193 O
0.107 0.541 0.693 O
0.158 0.275 0.699 O
0.158 0.725 0.199 O
0.165 0.239 0.959 O
0.165 0.761 0.459 O
0.256 0.397 0.396 O
0.256 0.603 0.896 O
0.257 0.104 0.369 O
0.257 0.896 0.869 O
0.262 0.135 0.793 O
0.262 0.865 0.293 O
0.311 0.310 0.833 O
0.311 0.690 0.333 O
0.391 0.465 0.175 O
0.391 0.535 0.675 O
0.395 0.052 0.147 O
0.395 0.948 0.647 O
0.403 0.255 0.245 O
0.403 0.745 0.745 O
0.463 0.108 0.449 O
0.463 0.892 0.949 O
0.464 0.393 0.467 O
0.464 0.607 0.967 O
0.536 0.393 0.967 O
0.536 0.607 0.467 O
0.537 0.108 0.949 O
0.537 0.892 0.449 O
0.597 0.255 0.745 O
0.597 0.745 0.245 O
0.605 0.052 0.647 O
0.605 0.948 0.147 O
0.609 0.465 0.675 O
0.609 0.535 0.175 O
0.689 0.310 0.333 O
0.689 0.690 0.833 O
0.738 0.135 0.293 O
0.738 0.865 0.793 O
0.743 0.104 0.869 O
0.743 0.896 0.369 O
0.744 0.397 0.896 O
0.744 0.603 0.396 O
0.835 0.239 0.459 O
0.835 0.761 0.959 O
0.842 0.275 0.199 O
0.842 0.725 0.699 O
0.893 0.459 0.693 O
0.893 0.541 0.193 O
0.902 0.062 0.674 O
0.902 0.938 0.174 O
0.910 0.254 0.795 O
0.910 0.746 0.295 O
0.932 0.095 0.990 O
0.932 0.905 0.490 O
0.948 0.400 0.994 O
0.948 0.600 0.494 O
```

Output
- density of states at the Fermi level (states/eV per atom) = 0.000
- size of the total moment (μB per cell) = 0.00



Entry three
Computed, not measured: a geometry-optimized Ca4Al6SO16 structure at the PBE level of DFT.

Geometry as POSCAR:
```
Ca4Al6SO16
1.0
-4.708 4.708 4.708
4.708 -4.708 4.708
4.708 4.708 -4.708
Ca Al S O
4 6 1 16
Direct
0.000 0.000 0.534 Ca
0.000 0.534 0.000 Ca
0.466 0.466 0.466 Ca
0.534 0.000 0.000 Ca
0.250 0.500 0.750 Al
0.250 0.750 0.500 Al
0.500 0.250 0.750 Al
0.500 0.750 0.250 Al
0.750 0.250 0.500 Al
0.750 0.500 0.250 Al
0.000 0.000 0.000 S
0.000 0.000 0.817 O
0.000 0.304 0.616 O
0.000 0.616 0.304 O
0.000 0.817 0.000 O
0.183 0.183 0.183 O
0.304 0.000 0.616 O
0.304 0.616 0.000 O
0.312 0.696 0.696 O
0.384 0.384 0.688 O
0.384 0.688 0.384 O
0.616 0.000 0.304 O
0.616 0.304 0.000 O
0.688 0.384 0.384 O
0.696 0.312 0.696 O
0.696 0.696 0.312 O
0.817 0.000 0.000 O
```

Output
- density of states at the Fermi level (states/eV per atom) = 0.000
- size of the total moment (μB per cell) = 0.01



Least stable: entry three



Entry one
Computed, not measured: a geometry-optimized CaAl2Si2O8 structure at the PBE level of DFT.

Geometry as POSCAR:
```
CaAl2Si2O8
1.0
5.157 0.000 0.000
-2.579 4.466 0.000
0.000 0.000 14.922
Ca Al Si O
2 4 4 16
Direct
0.000 0.000 0.000 Ca
0.000 0.000 0.500 Ca
0.333 0.667 0.358 Al
0.333 0.667 0.858 Al
0.667 0.333 0.142 Al
0.667 0.333 0.642 Al
0.333 0.667 0.137 Si
0.333 0.667 0.637 Si
0.667 0.333 0.363 Si
0.667 0.333 0.863 Si
0.013 0.391 0.097 O
0.013 0.622 0.597 O
0.333 0.667 0.244 O
0.333 0.667 0.744 O
0.378 0.391 0.597 O
0.378 0.987 0.097 O
0.391 0.013 0.403 O
0.391 0.378 0.903 O
0.609 0.622 0.097 O
0.609 0.987 0.597 O
0.622 0.013 0.903 O
0.622 0.609 0.403 O
0.667 0.333 0.256 O
0.667 0.333 0.756 O
0.987 0.378 0.403 O
0.987 0.609 0.903 O
```

Output
- density of states at the Fermi level (states/eV per atom) = 0.000
- size of the total moment (μB per cell) = 0.00



Entry two
Computed, not measured: a geometry-optimized CaAl2Si2O8 structure at the PBE level of DFT.

Geometry as POSCAR:
```
CaAl2Si2O8
1.0
7.162 0.000 0.000
-1.185 7.566 0.000
-2.490 -3.569 6.484
Ca Al Si O
2 4 4 16
Direct
0.103 0.254 0.329 Ca
0.897 0.746 0.671 Ca
0.210 0.846 0.171 Al
0.314 0.583 0.807 Al
0.686 0.417 0.193 Al
0.790 0.154 0.829 Al
0.235 0.180 0.802 Si
0.370 0.801 0.561 Si
0.630 0.199 0.439 Si
0.765 0.820 0.198 Si
0.023 0.102 0.827 O
0.159 0.710 0.910 O
0.206 0.314 0.682 O
0.258 0.964 0.660 O
0.276 0.599 0.576 O
0.307 0.736 0.321 O
0.375 0.105 0.301 O
0.427 0.311 0.025 O
0.573 0.689 0.975 O
0.625 0.895 0.699 O
0.693 0.264 0.679 O
0.724 0.401 0.424 O
0.742 0.036 0.340 O
0.794 0.686 0.318 O
0.841 0.290 0.090 O
0.977 0.898 0.173 O
```

Output
- density of states at the Fermi level (states/eV per atom) = 0.000
- size of the total moment (μB per cell) = 0.00



Least stable: entry two



Entry one
Computed, not measured: a geometry-optimized CaAl3Os structure at the PBE level of DFT.

Geometry as POSCAR:
```
CaAl3Os
1.0
4.767 0.000 0.000
0.000 4.767 0.000
0.000 0.000 4.767
Ca Al Os
1 3 1
Direct
0.000 0.000 0.000 Ca
0.000 0.500 0.500 Al
0.500 0.000 0.500 Al
0.500 0.500 0.000 Al
0.500 0.500 0.500 Os
```

Output
- density of states at the Fermi level (states/eV per atom) = 0.715
- size of the total moment (μB per cell) = 0.00



Entry two
Computed, not measured: a geometry-optimized CaAl3Os structure at the PBE level of DFT.

Geometry as POSCAR:
```
CaAl3Os
1.0
4.973 0.000 0.000
0.000 4.973 0.000
0.000 0.000 4.973
Ca Al Os
1 3 1
Direct
0.000 0.000 0.000 Ca
0.000 0.000 0.500 Al
0.000 0.500 0.000 Al
0.500 0.000 0.000 Al
0.500 0.500 0.500 Os
```

Output
- density of states at the Fermi level (states/eV per atom) = 1.777
- size of the total moment (μB per cell) = 0.00



Least stable: entry two



Entry one
Computed, not measured: a geometry-optimized CaAl2Os2 structure at the PBE level of DFT.

Geometry as POSCAR:
```
CaAl2Os2
1.0
7.668 0.000 0.000
0.000 7.668 0.000
0.000 0.000 2.798
Ca Al Os
2 4 4
Direct
0.000 0.000 0.000 Ca
0.500 0.500 0.000 Ca
0.131 0.369 0.000 Al
0.369 0.869 0.000 Al
0.631 0.131 0.000 Al
0.869 0.631 0.000 Al
0.161 0.661 0.500 Os
0.339 0.161 0.500 Os
0.661 0.839 0.500 Os
0.839 0.339 0.500 Os
```

Output
- density of states at the Fermi level (states/eV per atom) = 0.472
- size of the total moment (μB per cell) = 0.00



Entry two
Computed, not measured: a geometry-optimized CaAl2Os2 structure at the PBE level of DFT.

Geometry as POSCAR:
```
CaAl2Os2
1.0
-2.147 2.147 5.114
2.147 -2.147 5.114
2.147 2.147 -5.114
Ca Al Os
1 2 2
Direct
0.000 0.000 0.000 Ca
0.250 0.750 0.500 Al
0.750 0.250 0.500 Al
0.384 0.384 0.000 Os
0.616 0.616 0.000 Os
```

Output
- density of states at the Fermi level (states/eV per atom) = 0.235
- size of the total moment (μB per cell) = 0.00



Entry three
Computed, not measured: a geometry-optimized CaAl2Os2 structure at the PBE level of DFT.

Geometry as POSCAR:
```
CaAl2Os2
1.0
7.694 0.000 0.000
0.000 7.694 0.000
0.000 0.000 2.791
Ca Al Os
2 4 4
Direct
0.000 0.000 0.000 Ca
0.500 0.500 0.000 Ca
0.147 0.353 0.500 Al
0.353 0.853 0.500 Al
0.647 0.147 0.500 Al
0.853 0.647 0.500 Al
0.145 0.645 0.000 Os
0.355 0.145 0.000 Os
0.645 0.855 0.000 Os
0.855 0.355 0.000 Os
```

Output
- density of states at the Fermi level (states/eV per atom) = 0.521
- size of the total moment (μB per cell) = 0.00



Least stable: entry two